First-principles (PBE-GGA) data for a relaxed structure of CsTl2Sn2Cl7, as listed in Alexandria via LeMat-Bulk.

abc: 5.6018 6.3568 13.1242
angles: 104.02 102.32 90.00
Atoms (fractional coordinates):
Tl 0.7151 0.2841 0.4303
Tl 0.2849 0.8538 0.5697
Cl 0.8948 0.3776 0.7895
Cl 0.2725 0.3609 0.5449
Cl 0.5906 0.9859 0.1812
Cl 0.1052 0.5881 0.2105
Cl 0.5000 0.4097 0.0000
Cl 0.4094 0.8047 0.8188
Cl 0.7275 0.8160 0.4551
Sn 0.6082 0.6076 0.2164
Sn 0.3918 0.3912 0.7836
Cs 0.0000 0.0202 0.0000

Properties
SG: No. 44
VASP energy in eV/atom: -3.39
N(E_F) in states/eV per atom: 0.0000

=====

First-principles (PBE-GGA) data for a relaxed structure of CsTmSnCl6, as listed in Alexandria via LeMat-Bulk.

abc: 7.2654 7.2657 7.5668
angles: 90.00 90.00 60.00
Atoms (fractional coordinates):
Sn 0.6666 0.6667 0.5000
Cl 0.6108 0.0250 0.2989
Cl 0.0250 0.3642 0.2989
Cl 0.3642 0.6108 0.2989
Cl 0.3642 0.0250 0.7011
Cl 0.6108 0.3642 0.7011
Cl 0.0250 0.6108 0.7011
Tm 0.3333 0.3333 0.5000
Cs 0.0000 0.0000 0.0000

Properties
SG: No. 149
VASP energy in eV/atom: -4.11
N(E_F) in states/eV per atom: 0.0000

=====

First-principles (PBE-GGA) data for a relaxed structure of Cs2TmSnCl6, as listed in Alexandria via LeMat-Bulk.

abc: 7.4677 9.0357 10.8181
angles: 90.00 90.00 90.00
Atoms (fractional coordinates):
Cs 0.0000 0.2108 0.7484
Cs 0.5000 0.7892 0.7516
Cs 0.0000 0.2108 0.2516
Cs 0.5000 0.7892 0.2484
Cl 0.5000 0.2152 0.7429
Cl 0.2471 0.4228 0.5000
Cl 0.7562 0.9809 0.0000
Cl 0.7529 0.4228 0.5000
Cl 0.7438 0.0191 0.5000
Cl 0.2562 0.0191 0.5000
Cl 0.0000 0.7848 0.2429
Cl 0.0000 0.7848 0.7571
Cl 0.2529 0.5772 0.0000
Cl 0.5000 0.2152 0.2571
Cl 0.7471 0.5772 0.0000
Cl 0.2438 0.9809 0.0000
Tm 0.5000 0.2282 0.5000
Tm 0.0000 0.7718 0.0000
Sn 0.5000 0.2786 0.0000
Sn 0.0000 0.7214 0.5000

Properties
SG: No. 59
VASP energy in eV/atom: -3.88

=====

First-principles (PBE-GGA) data for a relaxed structure of CsVSnCl6, as listed in Alexandria via LeMat-Bulk.

abc: 6.9471 6.9432 7.5668
angles: 89.99 89.96 59.97
Atoms (fractional coordinates):
Cl 0.0431 0.6081 0.6849
Cl 0.6094 0.0444 0.3156
Cl 0.6073 0.3488 0.6852
Cl 0.0450 0.3465 0.3152
Cl 0.3467 0.6089 0.3154
Cl 0.3483 0.0436 0.6849
Cs 0.0000 0.9999 0.9994
Sn 0.6667 0.6665 0.4995
V 0.3333 0.3334 0.5000

Properties
SG: No. 1
VASP energy in eV/atom: -4.14
N(E_F) in states/eV per atom: 0.7241

=====

First-principles (PBE-GGA) data for a relaxed structure of Cs2VSnCl6, as listed in Alexandria via LeMat-Bulk.

abc: 7.5458 7.5458 7.5453
angles: 60.00 60.00 90.00
Atoms (fractional coordinates):
Cl 0.7350 0.7350 0.0000
Cl 0.7351 0.7351 0.5298
Cl 0.2650 0.7350 0.0000
Cl 0.2650 0.2650 0.0000
Cl 0.2649 0.2649 0.4702
Cl 0.7350 0.2650 0.0000
V 0.5000 0.5000 0.0000
Cs 0.2500 0.7500 0.5000
Cs 0.7500 0.2500 0.5000
Sn 0.0000 0.0000 0.0000

Properties
SG: No. 225
VASP energy in eV/atom: -4.05
N(E_F) in states/eV per atom: 0.0000

=====

First-principles (PBE-GGA) data for a relaxed structure of CsVSn2Cl8, as listed in Alexandria via LeMat-Bulk.

abc: 6.4514 7.3267 9.2401
angles: 72.97 82.67 80.45
Atoms (fractional coordinates):
Cl 0.4277 0.2580 0.5511
Cl 0.7911 0.1724 0.1532
Cl 0.2815 0.1820 0.9951
Cl 0.7185 0.8180 0.0049
Cl 0.2089 0.8276 0.8468
Cl 0.8686 0.2500 0.7736
Cl 0.1314 0.7500 0.2264
Cl 0.5723 0.7420 0.4489
Cs 0.0000 0.0000 0.5000
Sn 0.5306 0.5811 0.2455
Sn 0.4694 0.4189 0.7545
V 0.0000 0.0000 0.0000

Properties
SG: No. 2
VASP energy in eV/atom: -3.94
N(E_F) in states/eV per atom: 0.4949

=====

First-principles (PBE-GGA) data for a relaxed structure of CsV2SnCl8, as listed in Alexandria via LeMat-Bulk.

abc: 6.7808 6.7808 10.5559
angles: 71.27 71.27 60.00
Atoms (fractional coordinates):
Cl 0.8223 0.8223 0.5330
Cl 0.2868 0.9447 0.1714
Cl 0.4029 0.7132 0.8286
Cl 0.1777 0.1777 0.4670
Cl 0.7132 0.0553 0.8286
Cl 0.0553 0.4029 0.8286
Cl 0.9447 0.5971 0.1714
Cl 0.5971 0.2868 0.1714
V 0.7459 0.7459 0.7624
V 0.2541 0.2541 0.2376
Sn 0.0000 0.0000 0.0000
Cs 0.5000 0.5000 0.5000

Properties
SG: No. 148
VASP energy in eV/atom: -4.34
N(E_F) in states/eV per atom: 0.6472

=====

First-principles (PBE-GGA) data for a relaxed structure of Cs2SnWCl6, as listed in Alexandria via LeMat-Bulk.

abc: 7.6865 7.6865 7.7111
angles: 60.11 60.11 90.00
Atoms (fractional coordinates):
Cs 0.7500 0.2500 0.5000
Cs 0.2500 0.7500 0.5000
W 0.0000 0.0000 0.0000
Cl 0.7717 0.7717 0.4565
Cl 0.7707 0.7707 0.0000
Cl 0.2283 0.2283 0.5435
Cl 0.7707 0.2293 0.0000
Cl 0.2293 0.2293 0.0000
Cl 0.2293 0.7707 0.0000
Sn 0.5000 0.5000 0.0000

Properties
SG: No. 139
VASP energy in eV/atom: -4.05
N(E_F) in states/eV per atom: 0.2695

=====

First-principles (PBE-GGA) data for a relaxed structure of Cs2YSnCl6, as listed in Alexandria via LeMat-Bulk.

abc: 7.5070 9.0696 10.8986
angles: 90.00 90.00 90.00
Atoms (fractional coordinates):
Cl 0.7440 0.5739 0.0000
Cl 0.5000 0.2140 0.7449
Cl 0.7536 0.9816 0.0000
Cl 0.7560 0.4261 0.5000
Cl 0.0000 0.7860 0.7551
Cl 0.2536 0.0184 0.5000
Cl 0.2464 0.9816 0.0000
Cl 0.0000 0.7860 0.2449
Cl 0.2560 0.5739 0.0000
Cl 0.2440 0.4261 0.5000
Cl 0.5000 0.2140 0.2551
Cl 0.7464 0.0184 0.5000
Sn 0.0000 0.7236 0.5000
Sn 0.5000 0.2764 0.0000
Y 0.5000 0.2298 0.5000
Y 0.0000 0.7702 0.0000
Cs 0.0000 0.2107 0.7478
Cs 0.5000 0.7893 0.2478
Cs 0.5000 0.7893 0.7522
Cs 0.0000 0.2107 0.2522

Properties
Offset from the most stable computed form in eV/atom: 0.008
SG: No. 59
VASP energy in eV/atom: -4.07

=====

First-principles (PBE-GGA) data for a relaxed structure of Cs2YSnCl6, as listed in Alexandria via LeMat-Bulk.

abc: 7.7772 7.7772 8.4046
angles: 62.44 62.44 90.00
Atoms (fractional coordinates):
Sn 0.0000 0.0000 0.0000
Cl 0.2928 0.2928 0.4145
Cl 0.7072 0.7072 0.5855
Cl 0.7409 0.7409 0.0000
Cl 0.7409 0.2591 0.0000
Cl 0.2591 0.7409 0.0000
Cl 0.2591 0.2591 0.0000
Cs 0.7500 0.2500 0.5000
Cs 0.2500 0.7500 0.5000
Y 0.5000 0.5000 0.0000

Properties
Offset from the most stable computed form in eV/atom: 0.000
SG: No. 139
VASP energy in eV/atom: -4.08
N(E_F) in states/eV per atom: 0.0000

=====

no.,E_form (uncorrected) (eV per atom)
1,-1.182
2,-1.844
3,-1.751
4,-1.352
5,-1.462
6,-1.206
7,-1.188
8,-1.078
9,-1.747
10,-1.756